This record from Alexandria describes SmErInHg after structural relaxation. The functional is PBE.

Cell lengths 5.3364, 5.3364, 5.3364 Å; angles 60.00, 60.00, 60.00 degrees
Last column: magnetic moment on the atom in μB.
Atoms (fractional coordinates):
Sm (0.0000, 0.0000, 0.0000)  0.07
Er (0.5000, 0.5000, 0.5000)  0.10
Hg (0.7500, 0.7500, 0.7500)  0.01
In (0.2500, 0.2500, 0.2500)  0.00

This record from Alexandria describes Sm2ErIn2Hg2 after structural relaxation. The functional is PBE.

Cell lengths 4.9501, 4.9501, 9.4424 Å; angles 74.80, 74.80, 60.00 degrees
Atoms (fractional coordinates):
Er (0.0000, 0.0000, 0.0000)
Sm (0.1287, 0.1287, 0.6140)
Sm (0.8713, 0.8713, 0.3860)
In (0.7287, 0.7287, 0.8140)
In (0.2713, 0.2713, 0.1860)
Hg (0.4155, 0.4155, 0.7536)
Hg (0.5845, 0.5845, 0.2464)

This record from Alexandria describes TbEr2In2Hg2 after structural relaxation. The functional is PBE.

Cell lengths 4.9354, 4.9354, 9.2185 Å; angles 74.47, 74.47, 60.00 degrees
Atoms (fractional coordinates):
Er (0.8683, 0.8683, 0.3952)
Hg (0.5702, 0.5702, 0.2893)
Hg (0.4298, 0.4298, 0.7107)
Tb (0.0000, 0.0000, 0.0000)
Er (0.1317, 0.1317, 0.6048)
In (0.7315, 0.7315, 0.8056)
In (0.2685, 0.2685, 0.1944)

This record from Alexandria describes ErTlIn2Hg6 after structural relaxation. The functional is PBE.

Cell lengths 8.4314, 8.4314, 7.9722 Å; angles 102.19, 102.19, 79.14 degrees
Atoms (fractional coordinates):
In (0.3363, 0.2247, 0.8727)
Hg (0.0071, 0.2962, 0.0037)
Hg (0.9929, 0.7038, 0.9963)
Hg (0.9501, 0.2808, 0.6089)
Tl (0.6013, 0.3987, 0.7500)
In (0.6637, 0.7753, 0.1273)
Hg (0.7927, 0.4497, 0.2673)
Hg (0.7192, 0.0499, 0.8911)
Hg (0.0499, 0.7192, 0.3911)
Hg (0.2073, 0.5503, 0.7327)
In (0.2247, 0.3363, 0.3727)
Hg (0.5503, 0.2073, 0.2327)
Hg (0.2808, 0.9501, 0.1089)
Hg (0.4497, 0.7927, 0.7673)
In (0.7753, 0.6637, 0.6273)
Hg (0.7038, 0.9929, 0.4963)
Tl (0.3987, 0.6013, 0.2500)
Hg (0.2962, 0.0071, 0.5037)
Er (0.9426, 0.0574, 0.2500)
Er (0.0574, 0.9426, 0.7500)

This record from Alexandria describes Er4TlIn2Hg after structural relaxation. The functional is PBE.

Cell lengths 5.2825, 5.2825, 9.1405 Å; angles 73.20, 73.20, 60.00 degrees
Atoms (fractional coordinates):
Er (0.6236, 0.6236, 0.1293)
Er (0.3764, 0.3764, 0.8707)
In (0.2496, 0.2496, 0.2511)
Hg (0.5000, 0.5000, 0.5000)
In (0.7504, 0.7504, 0.7489)
Er (0.1264, 0.1264, 0.6207)
Tl (0.0000, 0.0000, 0.0000)
Er (0.8736, 0.8736, 0.3793)

This record from Alexandria describes Er4TlInHg2 after structural relaxation. The functional is PBE.

Cell lengths 5.2644, 5.2644, 9.1232 Å; angles 73.23, 73.23, 60.00 degrees
Atoms (fractional coordinates):
Tl (0.5000, 0.5000, 0.5000)
Hg (0.2518, 0.2518, 0.2445)
Er (0.8752, 0.8752, 0.3745)
Er (0.1248, 0.1248, 0.6255)
Hg (0.7482, 0.7482, 0.7555)
Er (0.3750, 0.3750, 0.8751)
In (0.0000, 0.0000, 0.0000)
Er (0.6250, 0.6250, 0.1249)

This record from Alexandria describes ErTlInHg after structural relaxation. The functional is PBE.

* relative energy among the computed polymorphs: 120 meV/atom

Cell lengths 5.2665, 5.2665, 5.2665 Å; angles 60.00, 60.00, 60.00 degrees
Atoms (fractional coordinates):
Er (0.5000, 0.5000, 0.5000)
Hg (0.2500, 0.2500, 0.2500)
Tl (0.7500, 0.7500, 0.7500)
In (0.0000, 0.0000, 0.0000)

This record from Alexandria describes ErTlInHg after structural relaxation. The functional is PBE.

* relative energy among the computed polymorphs: 0 meV/atom

Cell lengths 4.6099, 4.6113, 4.6907 Å; angles 90.00, 90.00, 90.00 degrees
Atoms (fractional coordinates):
In (0.0000, 0.5000, 0.5000)
Hg (0.5000, 0.0000, 0.5000)
Tl (0.0000, 0.0000, 0.0000)
Er (0.5000, 0.5000, 0.0000)

This record from Alexandria describes ErTmInHg after structural relaxation. The functional is PBE.

Cell lengths 5.2485, 5.2485, 5.2485 Å; angles 60.00, 60.00, 60.00 degrees
Atoms (fractional coordinates):
Er (0.0000, 0.0000, 0.0000)
Tm (0.5000, 0.5000, 0.5000)
In (0.2500, 0.2500, 0.2500)
Hg (0.7500, 0.7500, 0.7500)

This record from Alexandria describes Er2TmIn2Hg2 after structural relaxation. The functional is PBE.

Cell lengths 4.9342, 4.9342, 9.1493 Å; angles 74.36, 74.36, 60.00 degrees
Atoms (fractional coordinates):
Tm (0.0000, 0.0000, 0.0000)
Hg (0.4286, 0.4286, 0.7141)
Er (0.1310, 0.1310, 0.6071)
In (0.2700, 0.2700, 0.1901)
In (0.7300, 0.7300, 0.8099)
Er (0.8690, 0.8690, 0.3929)
Hg (0.5714, 0.5714, 0.2859)

This record from Alexandria describes ErTm2In2Hg2 after structural relaxation. The functional is PBE.

Cell lengths 4.9297, 4.9297, 9.1335 Å; angles 74.34, 74.34, 60.00 degrees
Atoms (fractional coordinates):
Er (0.0000, 0.0000, 0.0000)
Hg (0.4302, 0.4302, 0.7094)
Hg (0.5698, 0.5698, 0.2906)
In (0.7307, 0.7307, 0.8079)
Tm (0.1315, 0.1315, 0.6054)
In (0.2693, 0.2693, 0.1921)
Tm (0.8685, 0.8685, 0.3946)

This record from Alexandria describes YErInHg after structural relaxation. The functional is PBE.

Cell lengths 5.2837, 5.2837, 5.2837 Å; angles 60.00, 60.00, 60.00 degrees
Atoms (fractional coordinates):
In (0.0000, 0.0000, 0.0000)
Y (0.7500, 0.7500, 0.7500)
Er (0.2500, 0.2500, 0.2500)
Hg (0.5000, 0.5000, 0.5000)

This record from Alexandria describes Y2ErIn2Hg2 after structural relaxation. The functional is PBE.

Cell lengths 4.9358, 4.9358, 9.2970 Å; angles 74.61, 74.61, 60.00 degrees
Atoms (fractional coordinates):
Y (0.8700, 0.8700, 0.3901)
Hg (0.5761, 0.5761, 0.2717)
Hg (0.4239, 0.4239, 0.7283)
Y (0.1300, 0.1300, 0.6099)
Er (0.0000, 0.0000, 0.0000)
In (0.7296, 0.7296, 0.8111)
In (0.2704, 0.2704, 0.1889)

This record from Alexandria describes ErZrInHg after structural relaxation. The functional is PBE.

Cell lengths 5.1141, 5.1141, 5.1141 Å; angles 60.00, 60.00, 60.00 degrees
Atoms (fractional coordinates):
Er (0.2500, 0.2500, 0.2500)
In (0.5000, 0.5000, 0.5000)
Hg (0.0000, 0.0000, 0.0000)
Zr (0.7500, 0.7500, 0.7500)

This record from Alexandria describes Er6HgIr2 after structural relaxation. The functional is PBE.

Cell lengths 8.4054, 8.4054, 8.4054 Å; angles 104.00, 111.40, 113.15 degrees
Atoms (fractional coordinates):
Er (0.8964, 0.7157, 0.1807)
Ir (0.3337, 0.0000, 0.3337)
Er (0.3077, 0.9760, 0.6683)
Er (0.3077, 0.6394, 0.3317)
Ir (0.5000, 0.3683, 0.8683)
Er (0.4650, 0.2843, 0.1807)
Er (0.7983, 0.7597, 0.5580)
Er (0.6923, 0.0240, 0.3317)
Hg (0.0000, 0.0000, 0.0000)
Ir (0.5000, 0.6317, 0.1317)
Er (0.6923, 0.3606, 0.6683)
Er (0.2017, 0.7597, 0.9614)
Er (0.2017, 0.2403, 0.4420)
Ir (0.6663, 0.0000, 0.6663)
Er (0.5350, 0.7157, 0.8193)
Hg (0.0000, 0.5000, 0.5000)
Er (0.7983, 0.2403, 0.0386)
Er (0.1036, 0.2843, 0.8193)

This record from Alexandria describes Er5HgIr2 after structural relaxation. The functional is PBE.

Cell lengths 7.6814, 7.6814, 8.5970 Å; angles 116.54, 116.54, 90.00 degrees
Atoms (fractional coordinates):
Er (0.0000, 0.0000, 0.0000)
Er (0.0245, 0.5245, 0.7298)
Er (0.4755, 0.2947, 0.2702)
Er (0.9755, 0.4755, 0.2702)
Ir (0.8588, 0.6412, 0.0000)
Er (0.7053, 0.2053, 0.7298)
Hg (0.2500, 0.2500, 0.5000)
Er (0.2947, 0.7947, 0.2702)
Er (0.2053, 0.0245, 0.7298)
Ir (0.6412, 0.1412, 0.0000)
Hg (0.7500, 0.7500, 0.5000)
Ir (0.3588, 0.8588, 0.0000)
Ir (0.1412, 0.3588, 0.0000)
Er (0.5000, 0.5000, 0.0000)
Er (0.7947, 0.9755, 0.2702)
Er (0.5245, 0.7053, 0.7298)

This record from Alexandria describes Er4HgIr after structural relaxation. The functional is PBE.

* relative energy among the computed polymorphs: 0 meV/atom

Cell lengths 9.5033, 9.5033, 9.5033 Å; angles 60.00, 60.00, 60.00 degrees
Atoms (fractional coordinates):
Hg (0.1650, 0.5049, 0.1650)
Er (0.8119, 0.1881, 0.1881)
Hg (0.1650, 0.1650, 0.1650)
Er (0.9400, 0.5600, 0.5600)
Er (0.5600, 0.9400, 0.5600)
Er (0.1881, 0.8119, 0.1881)
Hg (0.1650, 0.1650, 0.5049)
Er (0.8119, 0.8119, 0.1881)
Er (0.3986, 0.3986, 0.3986)
Hg (0.5049, 0.1650, 0.1650)
Er (0.1881, 0.8119, 0.8119)
Er (0.9400, 0.5600, 0.9400)
Er (0.3986, 0.3986, 0.8041)
Er (0.5600, 0.9400, 0.9400)
Ir (0.1771, 0.6076, 0.6076)
Er (0.3986, 0.8041, 0.3986)
Er (0.5600, 0.5600, 0.9400)
Er (0.9400, 0.9400, 0.5600)
Er (0.8041, 0.3986, 0.3986)
Er (0.1881, 0.1881, 0.8119)
Er (0.8119, 0.1881, 0.8119)
Ir (0.6076, 0.1771, 0.6076)
Ir (0.6076, 0.6076, 0.6076)
Ir (0.6076, 0.6076, 0.1771)

This record from Alexandria describes Er2Hg2Ir after structural relaxation. The functional is PBE.

Cell lengths 3.4259, 3.4259, 9.9476 Å; angles 99.92, 99.92, 90.00 degrees
Atoms (fractional coordinates):
Er (0.5862, 0.5862, 0.1724)
Er (0.4138, 0.4138, 0.8276)
Hg (0.1974, 0.1974, 0.3949)
Hg (0.8026, 0.8026, 0.6051)
Ir (0.0000, 0.0000, 0.0000)

This record from Alexandria describes Er4Hg3Ir after structural relaxation. The functional is PBE.

Cell lengths 3.5626, 3.5626, 14.9270 Å; angles 90.00, 90.00, 90.00 degrees
Atoms (fractional coordinates):
Hg (0.5000, 0.5000, 0.7552)
Er (0.0000, 0.0000, 0.1066)
Ir (0.5000, 0.5000, 0.0000)
Hg (0.5000, 0.5000, 0.2448)
Er (0.0000, 0.0000, 0.3708)
Er (0.0000, 0.0000, 0.8934)
Hg (0.5000, 0.5000, 0.5000)
Er (0.0000, 0.0000, 0.6292)

This record from Alexandria describes Er4Hg5Ir2 after structural relaxation. The functional is PBE.

Cell lengths 3.5953, 7.6851, 9.4936 Å; angles 94.89, 90.00, 90.00 degrees
Atoms (fractional coordinates):
Ir (0.0000, 0.9192, 0.3590)
Er (0.5000, 0.2111, 0.4387)
Er (0.5000, 0.1804, 0.8507)
Hg (0.0000, 0.5394, 0.3342)
Er (0.5000, 0.8196, 0.1493)
Hg (0.0000, 0.8310, 0.8567)
Hg (0.0000, 0.1690, 0.1433)
Hg (0.0000, 0.4606, 0.6658)
Er (0.5000, 0.7889, 0.5613)
Ir (0.0000, 0.0808, 0.6410)
Hg (0.0000, 0.5000, 0.0000)

This record from Alexandria describes Er5HgIr4 after structural relaxation. The functional is PBE.

Cell lengths 3.4299, 3.4299, 17.6055 Å; angles 90.00, 90.00, 90.00 degrees
Last column: magnetic moment on the atom in μB.
Atoms (fractional coordinates):
Ir (0.0000, 0.0000, 0.4041)  0.12
Ir (0.0000, 0.0000, 0.7892)  0.01
Er (0.5000, 0.5000, 0.3092)  -0.01
Er (0.5000, 0.5000, 0.8801)  0.00
Er (0.5000, 0.5000, 0.5000)  -0.01
Ir (0.0000, 0.0000, 0.2108)  0.01
Er (0.5000, 0.5000, 0.1199)  0.00
Er (0.5000, 0.5000, 0.6908)  -0.01
Ir (0.0000, 0.0000, 0.5959)  0.12
Hg (0.0000, 0.0000, 0.0000)  0.00

This record from Alexandria describes Er6Hg3Ir after structural relaxation. The functional is PBE.

Cell lengths 5.0623, 8.8098, 11.6304 Å; angles 90.00, 90.00, 90.00 degrees
Atoms (fractional coordinates):
Hg (0.9999, 0.3495, 0.7890)
Hg (0.5000, 0.5000, 0.0000)
Er (0.0001, 0.3058, 0.0849)
Er (0.4999, 0.8482, 0.0835)
Ir (0.0000, 0.0000, 0.0000)
Er (0.4999, 0.8059, 0.4151)
Er (0.4999, 0.5142, 0.7406)
Hg (0.0000, 0.0000, 0.5000)
Er (0.0001, 0.0142, 0.7595)
Er (0.9999, 0.9858, 0.2405)
Er (0.5001, 0.4858, 0.2594)
Hg (0.4999, 0.1505, 0.2889)
Hg (0.0001, 0.6505, 0.2110)
Er (0.0001, 0.3482, 0.4164)
Er (0.9999, 0.6518, 0.5836)
Ir (0.5000, 0.5000, 0.5000)
Er (0.5001, 0.1941, 0.5849)
Er (0.9999, 0.6942, 0.9151)
Hg (0.5001, 0.8495, 0.7111)
Er (0.5001, 0.1518, 0.9165)

This record from Alexandria describes Er8Hg2Ir3 after structural relaxation. The functional is PBE.

Cell lengths 4.8771, 9.7956, 8.6117 Å; angles 124.60, 90.00, 90.00 degrees
Atoms (fractional coordinates):
Er (0.0000, 0.1161, 0.2317)
Er (0.5000, 0.3616, 0.2294)
Hg (0.5000, 0.2569, 0.5135)
Er (0.0000, 0.6141, 0.2278)
Er (0.0000, 0.8839, 0.7683)
Hg (0.5000, 0.7431, 0.4865)
Er (0.5000, 0.1313, 0.7696)
Ir (0.0000, 0.2531, 0.9998)
Ir (0.0000, 0.7469, 0.0002)
Er (0.0000, 0.3859, 0.7722)
Ir (0.5000, 0.0000, 0.0000)
Er (0.5000, 0.6384, 0.7706)
Er (0.5000, 0.8687, 0.2304)

Calculated DFT formation energy (eV per atom), listed in the same order as above: -0.458; -0.255; -0.258; -0.098; -0.410; -0.421; -0.162; -0.281; -0.443; -0.226; -0.230; -0.473; -0.250; -0.276; -0.613; -0.723; -0.590; -0.584; -0.597; -0.559; -0.816; -0.465; -0.563